Record 1
DFT (PBE) results for a relaxed YZn2Fe crystal.

The value obtained for the density of states at the Fermi level is 3.36 states/eV/f.u. For the uncorrected energy, the calculation gives -4.295 eV/atom. The calculated formation energy is 74 meV/atom. The magnetic moment comes out at 4.60 μB/cell.

It has space group I-4m2 (No. 119), with a = 4.2561 Å, b = 4.2561 Å, c = 7.8469 Å, α = 90.00°, β = 90.00° and γ = 90.00°. The distinct sites, in fractional coordinates, are Y at (0.0000, 0.0000, 0.0000), Zn at (0.0000, 0.0000, 0.5000), Zn at (0.0000, 0.5000, 0.7500) and Fe at (0.0000, 0.5000, 0.2500).

=====

Record 2
DFT (PBE) results for a relaxed YZn2Fe crystal.

The value obtained for the density of states at the Fermi level is 5.87 states/eV/f.u. For the uncorrected energy, the calculation gives -4.120 eV/atom. The calculated formation energy is 249 meV/atom. The magnetic moment comes out at 6.51 μB/cell.

It has space group I-42d (No. 122), with a = 4.2742 Å, b = 4.2742 Å, c = 17.7811 Å, α = 90.00°, β = 90.00° and γ = 90.00°. The distinct sites, in fractional coordinates, are Y at (0.0000, 0.0000, 0.0000), Zn at (0.1233, 0.2500, 0.6250) and Fe at (0.0000, 0.0000, 0.5000).

=====

Record 3
DFT (PBE) results for a relaxed YZn2Fe crystal.

The value obtained for the density of states at the Fermi level is 4.22 states/eV/f.u. For the uncorrected energy, the calculation gives -4.390 eV/atom. The calculated formation energy is -21 meV/atom. The magnetic moment comes out at 4.53 μB/cell.

It has space group I4/mmm (No. 139), with a = 4.3679 Å, b = 4.3679 Å, c = 7.3711 Å, α = 90.00°, β = 90.00° and γ = 90.00°. The distinct sites, in fractional coordinates, are Y at (0.0000, 0.0000, 0.0000), Zn at (0.0000, 0.5000, 0.2500) and Fe at (0.0000, 0.0000, 0.5000).

=====

Record 4
DFT (PBE) results for a relaxed YZrZnFe crystal.

The value obtained for the density of states at the Fermi level is 3.25 states/eV/f.u. For the uncorrected energy, the calculation gives -6.264 eV/atom. The calculated formation energy is -77 meV/atom. The magnetic moment comes out at 1.29 μB/cell.

It has space group F-43m (No. 216), with a = 6.7303 Å, b = 6.7303 Å, c = 6.7303 Å, α = 90.00°, β = 90.00° and γ = 90.00°. The distinct sites, in fractional coordinates, are Y at (0.0000, 0.0000, 0.0000), Zr at (0.0000, 0.0000, 0.5000), Zn at (0.2500, 0.2500, 0.2500) and Fe at (0.2500, 0.2500, 0.7500).

=====

Record 5
DFT (PBE) results for a relaxed YZr2Fe2 crystal.

The energy above the most stable polymorph in this dataset comes out at 335 meV/atom. The value obtained for the density of states at the Fermi level is 7.39 states/eV/f.u. For the uncorrected energy, the calculation gives -7.766 eV/atom. The calculated formation energy is 331 meV/atom. The magnetic moment comes out at 1.19 μB/cell.

It has space group I4/mmm (No. 139), with a = 4.1523 Å, b = 4.1523 Å, c = 11.8517 Å, α = 90.00°, β = 90.00° and γ = 90.00°. The distinct sites, in fractional coordinates, are Y at (0.0000, 0.0000, 0.0000), Zr at (0.0000, 0.0000, 0.3653) and Fe at (0.0000, 0.5000, 0.2500).

=====

Record 6
DFT (PBE) results for a relaxed YZrFe crystal.

The energy above the most stable polymorph in this dataset comes out at 0 meV/atom. The value obtained for the density of states at the Fermi level is 3.70 states/eV/f.u. For the uncorrected energy, the calculation gives -7.788 eV/atom. The calculated formation energy is 37 meV/atom. The magnetic moment comes out at 7.34 μB/cell.

It has space group Cmce (No. 64), with a = 6.4509 Å, b = 12.2071 Å, c = 6.8975 Å, α = 90.00°, β = 90.00° and γ = 90.00°. The distinct sites, in fractional coordinates, are Y at (0.0000, 0.1960, 0.1034), Zr at (0.2500, 0.0338, 0.7500) and Fe at (0.0000, 0.0913, 0.4616).

=====

Record 7
DFT (PBE) results for a relaxed YZrFe crystal.

The energy above the most stable polymorph in this dataset comes out at 188 meV/atom. The value obtained for the density of states at the Fermi level is 3.33 states/eV/f.u. For the uncorrected energy, the calculation gives -7.600 eV/atom. The calculated formation energy is 225 meV/atom. The magnetic moment comes out at 0.72 μB/cell.

It has space group P3m1 (No. 156), with a = 4.4454 Å, b = 4.4454 Å, c = 3.7167 Å, α = 90.00°, β = 90.00° and γ = 120.00°. The distinct sites, in fractional coordinates, are Y at (0.0000, 0.0000, 0.0000), Zr at (0.3333, 0.6667, 0.4693) and Fe at (0.6667, 0.3333, 0.6354).

=====

Record 8
DFT (PBE) results for a relaxed YZr2Fe2 crystal.

The energy above the most stable polymorph in this dataset comes out at 44 meV/atom. The value obtained for the density of states at the Fermi level is 4.23 states/eV/f.u. For the uncorrected energy, the calculation gives -8.057 eV/atom. The calculated formation energy is 40 meV/atom. The magnetic moment comes out at 0.00 μB/cell.

It has space group P4/mbm (No. 127), with a = 7.5951 Å, b = 7.5951 Å, c = 3.2559 Å, α = 90.00°, β = 90.00° and γ = 90.00°. The distinct sites, in fractional coordinates, are Y at (0.0000, 0.0000, 0.0000), Zr at (0.1482, 0.3518, 0.5000) and Fe at (0.1389, 0.6389, 0.0000).

=====

Record 9
DFT (PBE) results for a relaxed Y2ZrFe2 crystal.

The energy above the most stable polymorph in this dataset comes out at 431 meV/atom. The value obtained for the density of states at the Fermi level is 6.53 states/eV/f.u. For the uncorrected energy, the calculation gives -7.220 eV/atom. The calculated formation energy is 460 meV/atom. The magnetic moment comes out at 4.81 μB/cell.

It has space group P4/mbm (No. 127), with a = 8.0077 Å, b = 8.0077 Å, c = 3.0669 Å, α = 90.00°, β = 90.00° and γ = 90.00°. The distinct sites, in fractional coordinates, are Y at (0.1353, 0.3647, 0.0000), Zr at (0.0000, 0.0000, 0.0000) and Fe at (0.1726, 0.6726, 0.5000).

=====

Record 10
DFT (PBE) results for a relaxed YZr3Fe8 crystal.

The value obtained for the density of states at the Fermi level is 5.95 states/eV/f.u. For the uncorrected energy, the calculation gives -8.542 eV/atom. The calculated formation energy is -225 meV/atom. The magnetic moment comes out at 38.28 μB/cell.

It has space group R3m (No. 160, hexagonal axes), with a = 5.0174 Å, b = 5.0174 Å, c = 24.6425 Å, α = 90.00°, β = 90.00° and γ = 120.00°. The distinct sites, in fractional coordinates, are Y at (0.0000, 0.0000, 0.0000), Zr at (0.0000, 0.0000, 0.1257), Zr at (0.0000, 0.0000, 0.5000), Zr at (0.0000, 0.0000, 0.6241), Fe at (0.0000, 0.0000, 0.3123), Fe at (0.0000, 0.0000, 0.8126), Fe at (0.0007, 0.5004, 0.0640) and Fe at (0.1674, 0.3348, 0.8945).

=====

Record 11
DFT (PBE) results for a relaxed Y2ZrFe9 crystal.

The value obtained for the density of states at the Fermi level is 11.35 states/eV/f.u. For the uncorrected energy, the calculation gives -8.208 eV/atom. The calculated formation energy is -71 meV/atom. The magnetic moment comes out at 49.98 μB/cell.

It has space group R-3m (No. 166, hexagonal axes), with a = 5.0208 Å, b = 5.0208 Å, c = 24.3829 Å, α = 90.00°, β = 90.00° and γ = 120.00°. The distinct sites, in fractional coordinates, are Y at (0.0000, 0.0000, 0.1411), Zr at (0.0000, 0.0000, 0.0000), Fe at (0.0000, 0.0000, 0.3328), Fe at (0.0000, 0.0000, 0.5000) and Fe at (0.0006, 0.5003, 0.0805).

=====

Record 12
DFT (PBE) results for a relaxed YZr2Fe2 crystal.

The energy above the most stable polymorph in this dataset comes out at 0 meV/atom. The value obtained for the density of states at the Fermi level is 7.06 states/eV/f.u. For the uncorrected energy, the calculation gives -8.100 eV/atom. The calculated formation energy is -3 meV/atom. The magnetic moment comes out at 0.22 μB/cell.

It has space group I4/mmm (No. 139), with a = 4.3215 Å, b = 4.3215 Å, c = 10.6186 Å, α = 90.00°, β = 90.00° and γ = 90.00°. The distinct sites, in fractional coordinates, are Y at (0.0000, 0.0000, 0.0000), Zr at (0.0000, 0.5000, 0.2500) and Fe at (0.0000, 0.0000, 0.3969).